Record 1
A relaxed LiFeMo4 crystal. Source: Alexandria, functional GGA-PBE.

a = 7.3317 Å, b = 7.3317 Å, c = 7.3317 Å
α = 90.00°, β = 90.00°, γ = 90.00°
Closest atoms and distances in Å follow each position.
Space group F-43m (No. 216)
Unique sites:
1 Li 0.0000 0.0000 0.0000 [4 per cell]  12 Mo 3.04, 4 Fe 3.17
2 Fe 0.2500 0.2500 0.2500 [4 per cell]  12 Mo 3.04, 4 Li 3.17
3 Mo 0.1259 0.1259 0.6259 [16 per cell]  6 Mo 2.57-2.61

Results
DFT total energy: -8.37 eV per atom

Record 2
A relaxed Dy2Mg5Zn4 crystal. Source: Alexandria, functional GGA-PBE.

a = 6.0007 Å, b = 11.4918 Å, c = 14.3624 Å
α = 90.00°, β = 90.00°, γ = 90.00°
Closest atoms and distances in Å follow each position.
Space group Fmmm (No. 69)
Unique sites:
1 Dy 0.0000 0.0000 0.1478 [8 per cell]  6 Zn 3.12-3.26
2 Mg 0.0000 0.0000 0.5000 [4 per cell]  4 Zn 2.54
3 Mg 0.2500 0.2500 0.0000 [8 per cell]  4 Mg 3.00-3.24, 4 Zn 3.11
4 Mg 0.2500 0.2500 0.2500 [8 per cell]  4 Zn 2.60
5 Zn 0.0000 0.1105 0.3465 [16 per cell]  1 Zn 2.54, 3 Mg 2.54-2.60

Results
DFT total energy: -2.09 eV per atom

Record 3
A relaxed TlHg3Cl crystal. Source: Alexandria, functional GGA-PBE.

a = 5.8710 Å, b = 5.8710 Å, c = 5.8710 Å
α = 90.00°, β = 90.00°, γ = 90.00°
Closest atoms and distances in Å follow each position.
Space group Pm-3m (No. 221)
Unique sites:
1 Tl 0.0000 0.0000 0.0000 [1 per cell]  6 Hg 2.94
2 Hg 0.0000 0.0000 0.5000 [3 per cell]  2 Tl 2.94
3 Cl 0.5000 0.5000 0.5000 [1 per cell]  12 Hg 4.15

Results
Formation energy from raw total energies: -0.0367 eV per atom

Record 4
A relaxed CaEr2Sc crystal. Source: Alexandria, functional GGA-PBE.

a = 3.8086 Å, b = 3.8086 Å, c = 8.8219 Å
α = 90.00°, β = 90.00°, γ = 90.00°
Closest atoms and distances in Å follow each position.
Space group P4/mmm (No. 123)
Unique sites:
1 Ca 0.0000 0.0000 0.0000 [1 per cell]  8 Er 3.76, 4 Ca 3.81
2 Er 0.5000 0.5000 0.2970 [2 per cell]  4 Sc 3.23, 1 Er 3.58
3 Sc 0.0000 0.0000 0.5000 [1 per cell]  8 Er 3.23

Results
DFT total energy: -4.29 eV per atom

Record 5
A relaxed VMoPdSe2 crystal. Source: Alexandria, functional GGA-PBE.

a = 4.8226 Å, b = 4.8226 Å, c = 4.7922 Å
α = 90.00°, β = 90.00°, γ = 90.00°
Closest atoms and distances in Å follow each position.
Space group P4/mmm (No. 123)
Unique sites:
1 V 0.0000 0.0000 0.0000 [1 per cell]  8 Se 3.40, 4 Mo 3.41
2 Mo 0.5000 0.5000 0.0000 [1 per cell]  2 Pd 2.40
3 Pd 0.5000 0.5000 0.5000 [1 per cell]  2 Mo 2.40, 4 Se 2.41
4 Se 0.0000 0.5000 0.5000 [2 per cell]  2 Pd 2.41

Results
Formation energy from raw total energies: 1.4175 eV per atom

Record 6
A relaxed HgPtSe2 crystal. Source: Alexandria, functional GGA-PBE.

a = 2.7788 Å, b = 27.1590 Å, c = 5.1633 Å
α = 90.00°, β = 90.00°, γ = 90.00°
Closest atoms and distances in Å follow each position.
Space group Cmcm (No. 63)
Unique sites:
1 Hg 0.0000 0.2099 0.2500 [4 per cell]  2 Hg 2.78
2 Pt 0.0000 0.4474 0.2500 [4 per cell]  4 Se 2.44-2.61
3 Se 0.0000 0.3577 0.2500 [4 per cell]  1 Pt 2.44
4 Se 0.0000 0.4613 0.7500 [4 per cell]  3 Pt 2.48-2.61

Results
Formation energy from raw total energies: -0.0850 eV per atom